[1]
# MgTl8In2 (PBE-GGA, relaxed)
data_MgTl8In2
_chemical_formula_sum 'Mg1 Tl8 In2'
_space_group_name_H-M_alt 'P 1'
_space_group_IT_number 1
_cell_length_a 8.166
_cell_length_b 8.166
_cell_length_c 5.662
_cell_angle_alpha 101.24
_cell_angle_beta 101.24
_cell_angle_gamma 76.27
loop_
_space_group_symop_operation_xyz
'x,y,z'
loop_
_atom_site_label
_atom_site_type_symbol
_atom_site_fract_x
_atom_site_fract_y
_atom_site_fract_z
Mg1 Mg 0.000 0.000 0.000
Tl1 Tl 0.183 0.659 0.198
Tl2 Tl 0.249 0.249 0.102
Tl3 Tl 0.341 0.817 0.802
Tl4 Tl 0.397 0.397 0.682
Tl5 Tl 0.603 0.603 0.318
Tl6 Tl 0.659 0.183 0.198
Tl7 Tl 0.751 0.751 0.898
Tl8 Tl 0.817 0.341 0.802
In1 In 0.127 0.127 0.529
In2 In 0.873 0.873 0.471
# ΔH_f (0 K) (eV per atom): 0.089
# Space-group type: No. 12
# Excess energy over the best structure of this formula in the dataset (meV per atom): 45

[2]
# Mn2AsW (PBE-GGA, relaxed)
data_Mn2AsW
_chemical_formula_sum 'Mn4 As2 W2'
_space_group_name_H-M_alt 'P 1'
_space_group_IT_number 1
_cell_length_a 3.455
_cell_length_b 4.444
_cell_length_c 7.409
_cell_angle_alpha 90.00
_cell_angle_beta 90.00
_cell_angle_gamma 90.00
loop_
_space_group_symop_operation_xyz
'x,y,z'
loop_
_atom_site_label
_atom_site_type_symbol
_atom_site_fract_x
_atom_site_fract_y
_atom_site_fract_z
Mn1 Mn 0.000 0.000 0.000
Mn2 Mn 0.000 0.500 0.245
Mn3 Mn 0.500 0.000 0.245
Mn4 Mn 0.500 0.500 0.000
As1 As 0.000 0.500 0.767
As2 As 0.500 0.000 0.767
W1 W 0.000 0.000 0.488
W2 W 0.500 0.500 0.488
# ΔH_f (0 K) (eV per atom): 0.339
# Space-group type: No. 35

[3]
# IrRuAu (PBE-GGA, relaxed)
data_IrRuAu
_chemical_formula_sum 'Ir2 Ru2 Au2'
_space_group_name_H-M_alt 'P 1'
_space_group_IT_number 1
_cell_length_a 2.788
_cell_length_b 2.788
_cell_length_c 11.984
_cell_angle_alpha 90.00
_cell_angle_beta 90.00
_cell_angle_gamma 90.00
loop_
_space_group_symop_operation_xyz
'x,y,z'
loop_
_atom_site_label
_atom_site_type_symbol
_atom_site_fract_x
_atom_site_fract_y
_atom_site_fract_z
Ir1 Ir 0.000 0.000 0.000
Ir2 Ir 0.500 0.500 0.500
Ru1 Ru 0.000 0.000 0.358
Ru2 Ru 0.500 0.500 0.858
Au1 Au 0.000 0.000 0.681
Au2 Au 0.500 0.500 0.181
# ΔH_f (0 K) (eV per atom): 0.194
# Space-group type: No. 107
# Excess energy over the best structure of this formula in the dataset (meV per atom): 0

[4]
# Sn4Mo2H (PBE-GGA, relaxed)
data_Sn4Mo2H
_chemical_formula_sum 'Sn8 Mo4 H2'
_space_group_name_H-M_alt 'P 1'
_space_group_IT_number 1
_cell_length_a 4.093
_cell_length_b 4.093
_cell_length_c 15.769
_cell_angle_alpha 90.00
_cell_angle_beta 90.00
_cell_angle_gamma 90.00
loop_
_space_group_symop_operation_xyz
'x,y,z'
loop_
_atom_site_label
_atom_site_type_symbol
_atom_site_fract_x
_atom_site_fract_y
_atom_site_fract_z
Sn1 Sn 0.000 0.000 0.194
Sn2 Sn 0.000 0.000 0.806
Sn3 Sn 0.000 0.500 0.000
Sn4 Sn 0.000 0.500 0.500
Sn5 Sn 0.500 0.000 0.000
Sn6 Sn 0.500 0.000 0.500
Sn7 Sn 0.500 0.500 0.306
Sn8 Sn 0.500 0.500 0.694
Mo1 Mo 0.000 0.000 0.374
Mo2 Mo 0.000 0.000 0.626
Mo3 Mo 0.500 0.500 0.126
Mo4 Mo 0.500 0.500 0.874
H1 H 0.000 0.000 0.000
H2 H 0.500 0.500 0.500
# Space-group type: No. 139
# Total energy (eV per cell): -75.306

- Number 3 is which compound?
  IrRuAu